1.
A geometry-optimized SrLa2Ru structure, computed with PBE-GGA.

Summary:
E in eV per atom: -5.0638
Total magnetization in μB per atom: 0.000
Offset from the most stable computed form in meV per atom: 317
Calculated volume in A^3/atom: 50.1

Cell: 11.706 11.706 11.706 Å, 90.00 90.00 90.00°
Space group Fd-3m (No. 227, origin choice 2)
Symmetry-distinct sites (fractional):
1 Sr 0.125 0.125 0.125 x8
2 La 0.000 0.000 0.500 x16
3 Ru 0.125 0.125 0.625 x8

***

2.
A geometry-optimized SrLaRu2 structure, computed with PBE-GGA.

Summary:
E in eV per atom: -6.0244
Total magnetization in μB per atom: 0.000
Calculated volume in A^3/atom: 27.0

Cell: 5.026 5.045 8.525 Å, 90.00 90.00 90.00°
Space group Cmm2 (No. 35)
Symmetry-distinct sites (fractional):
1 Sr 0.000 0.000 0.000 x2
2 La 0.000 0.500 0.425 x2
3 Ru 0.000 0.000 0.644 x2
4 Ru 0.000 0.500 0.731 x2

***

3.
A geometry-optimized SrLa2Ru structure, computed with PBE-GGA.

Summary:
E in eV per atom: -5.3793
Total magnetization in μB per atom: 0.000
Offset from the most stable computed form in meV per atom: 2
Calculated volume in A^3/atom: 37.6

Cell: 4.2019 4.2019 29.5112 Å, 90.00 90.00 120.00°
Space group R3m (No. 160, hexagonal axes)
Symmetry-distinct sites (fractional):
1 Sr 0.0000 0.0000 0.0000 x3
2 La 0.0000 0.0000 0.5490 x3
3 La 0.0000 0.0000 0.7818 x3
4 Ru 0.0000 0.0000 0.1651 x3

***

4.
A geometry-optimized SrLa2Ru structure, computed with PBE-GGA.

Summary:
E in eV per atom: -4.9098
Total magnetization in μB per atom: 0.000
Offset from the most stable computed form in meV per atom: 471
Calculated volume in A^3/atom: 28.3

Cell: 7.682 7.682 7.682 Å, 90.00 90.00 90.00°
Space group Fm-3m (No. 225)
Symmetry-distinct sites (fractional):
1 Sr 0.000 0.000 0.000 x4
2 La 0.250 0.250 0.250 x8
3 Ru 0.000 0.000 0.500 x4

***

5.
A geometry-optimized SrLa2Ru structure, computed with PBE-GGA.

Summary:
E in eV per atom: -5.2698
Total magnetization in μB per atom: 0.000
Offset from the most stable computed form in meV per atom: 111
Calculated volume in A^3/atom: 36.3

Cell: 12.725 3.927 6.867 Å, 90.00 122.29 90.00°
Space group Cm (No. 8)
Symmetry-distinct sites (fractional):
1 Sr 0.000 0.000 0.000 x2
2 La 0.147 0.500 0.635 x2
3 La 0.324 0.500 0.346 x2
4 Ru 0.264 0.000 0.540 x2

***

6.
A geometry-optimized Sr2La4Ru structure, computed with PBE-GGA.

Summary:
E in eV per atom: -4.5616
Total magnetization in μB per atom: 0.000
Calculated volume in A^3/atom: 44.6

Cell: 5.650 5.650 19.576 Å, 90.00 90.00 90.00°
Space group I4/mmm (No. 139)
Symmetry-distinct sites (fractional):
1 Sr 0.000 0.000 0.163 x4
2 La 0.000 0.000 0.362 x4
3 La 0.000 0.500 0.000 x4
4 Ru 0.000 0.000 0.500 x2

***

7.
A geometry-optimized SrLa2Ru structure, computed with PBE-GGA.

Summary:
E in eV per atom: -5.2696
Total magnetization in μB per atom: 0.000
Offset from the most stable computed form in meV per atom: 111
Calculated volume in A^3/atom: 36.8

Cell: 3.974 4.371 16.939 Å, 90.00 90.00 90.00°
Space group Amm2 (No. 38)
Symmetry-distinct sites (fractional):
1 Sr 0.000 0.000 0.000 x2
2 La 0.000 0.000 0.679 x2
3 La 0.500 0.000 0.324 x2
4 Ru 0.500 0.000 0.182 x2

***

8.
A geometry-optimized Sr2LaRu structure, computed with PBE-GGA.

Summary:
E in eV per atom: -3.7539
Total magnetization in μB per atom: 0.000
Offset from the most stable computed form in meV per atom: 596
Calculated volume in A^3/atom: 30.6

Cell: 6.294 11.194 3.658 Å, 90.00 108.37 90.00°
Space group C2/m (No. 12)
Symmetry-distinct sites (fractional):
1 Sr 0.250 0.250 0.000 x4
2 La 0.000 0.000 0.500 x2
3 Ru 0.000 0.500 0.500 x2

***

Computed E_form (eV per formula unit) in order:
0.6, 1.1, -0.7, 1.2, -0.3, 0.4, -0.3, 2.6